Entry from the Alexandria database: a relaxed structure of CaPtW2 (GGA-PBE).

Summary:
The value obtained for the calculated total energy is -7.833 eV per atom. For the size of the total moment, the calculation gives 0.00 μB/atom. The energy of formation from the pure elements comes out at 253 kJ/mol of formula units. The symmetry is I-42d (122). The distance to the lowest polymorph of the same formula is 484 meV/atom.

Structure (POSCAR):
```
CaPtW2
1.0
-1.914 1.914 10.561
1.914 -1.914 10.561
1.914 1.914 -10.561
Ca Pt W
2 2 4
direct
0.000 0.000 0.000
0.750 0.250 0.500
0.250 0.750 0.500
0.500 0.500 0.000
0.151 0.625 0.026
0.375 0.401 0.526
0.599 0.125 0.974
0.875 0.849 0.474
```